Entry 1:
Below is a geometry-optimized MnCuPH structure, with properties calculated at the PBE-GGA level.

a b c (Å): 7.9277 2.7322 4.5327
angles (deg): 90.00 118.00 90.00
Closest atoms and distances in Å follow each position.
Space group Cm (No. 8)
Unique sites:
Mn 0.0000 0.0000 0.0000  2 H 1.74
Cu 0.1069 0.5000 0.5618  1 H 1.71
P 0.3015 0.0000 0.0688  3 Mn 2.21-2.26, 1 H 2.35, 1 Cu 2.40
H 0.4573 0.0000 0.7368  1 Cu 1.71, 2 Mn 1.74

Computed properties:
final energy = -0.4021 Ry/atom
V = 10.84 Å³/atom
distance to the lowest polymorph of the same formula = 102.5 meV/atom



Entry 2:
Below is a geometry-optimized ThNi3Sn structure, with properties calculated at the PBE-GGA level.

a b c (Å): 4.8842 16.6790 4.5215
angles (deg): 90.00 90.00 90.00
Closest atoms and distances in Å follow each position.
Space group Cmcm (No. 63)
Unique sites:
Th 0.0000 0.0877 0.2500  2 Ni 2.53
Ni 0.0000 0.5000 0.0000  2 Ni 2.26
Ni 0.2370 0.2817 0.7500  4 Ni 2.32-2.57, 1 Th 2.53
Sn 0.0000 0.3537 0.2500  8 Ni 2.60-2.81

Computed properties:
final energy = -0.4337 Ry/atom
energy of formation = -3.41 kcal/mol of atoms
V = 18.42 Å³/atom



Entry 3:
Below is a geometry-optimized Ho2ZnCo structure, with properties calculated at the PBE-GGA level.

a b c (Å): 6.8528 6.8528 6.8528
angles (deg): 90.00 90.00 90.00
Closest atoms and distances in Å follow each position.
Space group Fm-3m (No. 225)
Unique sites:
Ho 0.2500 0.2500 0.2500  4 Co 2.97, 4 Zn 2.97
Zn 0.0000 0.0000 0.0000  8 Ho 2.97
Co 0.0000 0.0000 0.5000  8 Ho 2.97

Computed properties:
final energy = -0.3402 Ry/atom
energy of formation = -5.65 kcal/mol of atoms
V = 20.11 Å³/atom
distance to the lowest polymorph of the same formula = 28.6 meV/atom



Entry 4:
Below is a geometry-optimized LiYSe2 structure, with properties calculated at the PBE-GGA level.

a b c (Å): 4.0728 4.0728 19.5356
angles (deg): 90.00 90.00 120.00
Closest atoms and distances in Å follow each position.
Space group R-3m (No. 166, hexagonal axes)
Unique sites:
Li 0.0000 0.0000 0.0000  6 Se 2.85
Y 0.0000 0.0000 0.5000  6 Se 2.87
Se 0.0000 0.0000 0.2511  3 Li 2.85, 3 Y 2.87

Computed properties:
final energy = -0.4074 Ry/atom
formation energy without anion corrections = -6.83 eV/f.u.
V = 23.39 Å³/atom



Entry 5:
Below is a geometry-optimized PaTeO2 structure, with properties calculated at the PBE-GGA level.

a b c (Å): 4.1174 4.1174 6.0272
angles (deg): 90.00 90.00 90.00
Closest atoms and distances in Å follow each position.
Space group P4/mmm (No. 123)
Unique sites:
Pa 0.0000 0.0000 0.0000  4 O 2.06
Te 0.5000 0.5000 0.5000  8 O 3.65
O 0.0000 0.5000 0.0000  2 Pa 2.06

Computed properties:
final energy = -0.5744 Ry/atom
formation energy without anion corrections = -8.71 eV/f.u.
V = 25.54 Å³/atom
distance to the lowest polymorph of the same formula = 408.1 meV/atom



Entry 6:
Below is a geometry-optimized Pa2PS2 structure, with properties calculated at the PBE-GGA level.

a b c (Å): 6.8533 3.9561 9.8456
angles (deg): 90.00 90.62 90.00
Closest atoms and distances in Å follow each position.
Space group C2/m (No. 12)
Unique sites:
Pa 0.1692 0.0000 0.1628  3 S 2.72, 3 P 2.79
P 0.0000 0.5000 0.0000  6 Pa 2.79
S 0.1618 0.0000 0.6880  3 Pa 2.72

Computed properties:
final energy = -0.5899 Ry/atom
formation energy without anion corrections = -7.47 eV/f.u.
V = 26.69 Å³/atom
distance to the lowest polymorph of the same formula = 0.0 meV/atom



Entry 7:
Below is a geometry-optimized PmYSnAu structure, with properties calculated at the PBE-GGA level.

a b c (Å): 7.4801 7.4801 7.4801
angles (deg): 90.00 90.00 90.00
Closest atoms and distances in Å follow each position.
Space group F-43m (No. 216)
Unique sites:
Pm 0.0000 0.0000 0.0000  4 Sn 3.24, 4 Au 3.24
Y 0.0000 0.0000 0.5000  4 Au 3.24, 4 Sn 3.24
Sn 0.2500 0.2500 0.7500  4 Y 3.24, 4 Pm 3.24
Au 0.2500 0.2500 0.2500  4 Pm 3.24, 4 Y 3.24

Computed properties:
final energy = -0.3934 Ry/atom
energy of formation = -16.80 kcal/mol of atoms
V = 26.16 Å³/atom



Entry 8:
Below is a geometry-optimized PrDyTe2Se structure, with properties calculated at the PBE-GGA level.

a b c (Å): 4.3818 4.3818 15.7228
angles (deg): 90.00 90.00 90.00
Closest atoms and distances in Å follow each position.
Space group P4/nmm (No. 129, origin choice 2)
Unique sites:
Pr 0.2500 0.2500 0.1327  4 Se 3.03, 4 Te 3.34
Dy 0.2500 0.2500 0.5903  6 Te 3.10-3.11
Te 0.2500 0.2500 0.3923  5 Dy 3.11
Te 0.2500 0.2500 0.7872  1 Dy 3.10, 4 Pr 3.34
Se 0.2500 0.7500 0.0000  4 Pr 3.03, 4 Se 3.10

Computed properties:
final energy = -0.3858 Ry/atom
formation energy without anion corrections = -7.10 eV/f.u.
V = 30.19 Å³/atom



Entry 9:
Below is a geometry-optimized Li2LaSc structure, with properties calculated at the PBE-GGA level.

a b c (Å): 3.3529 4.8933 6.5444
angles (deg): 90.00 104.84 90.00
Closest atoms and distances in Å follow each position.
Space group Pm (No. 6)
Unique sites:
Li 0.0000 0.0000 0.0000  2 Li 2.90
Li 0.1320 0.5000 0.2465  2 Li 2.90, 1 La 3.19
La 0.3770 0.5000 0.7511  7 Li 3.19-3.57, 2 La 3.35, 4 Sc 3.49
Sc 0.7335 0.0000 0.4605  7 Li 3.25-3.41, 2 Sc 3.35, 4 La 3.49

Computed properties:
final energy = -0.2636 Ry/atom
energy of formation = 4.26 kcal/mol of atoms
V = 25.95 Å³/atom
distance to the lowest polymorph of the same formula = 85.3 meV/atom



Entry 10:
Below is a geometry-optimized B2C3 structure, with properties calculated at the PBE-GGA level.

a b c (Å): 13.8931 2.5554 3.8117
angles (deg): 90.00 103.72 90.00
Closest atoms and distances in Å follow each position.
Space group Cm (No. 8)
Unique sites:
B 0.0000 0.0000 0.0000  2 C 1.56-1.64
B 0.0161 0.5000 0.3432  1 C 1.56
B 0.2968 0.5000 0.8193  4 C 1.65-1.76
B 0.3792 0.0000 0.4506  3 C 1.53-1.57
C 0.1080 0.0000 0.8949  3 C 1.55-1.58, 1 B 1.64
C 0.1091 0.5000 0.6650  3 C 1.55-1.58, 1 B 1.56
C 0.1978 0.5000 0.4714  3 C 1.56-1.58, 1 B 1.67
C 0.1988 0.0000 0.2371  4 C 1.56-1.58
C 0.2948 0.0000 0.0926  1 C 1.56, 3 B 1.57-1.65
C 0.4080 0.5000 0.6732  3 B 1.53-1.56

Computed properties:
final energy = -0.5764 Ry/atom
energy of formation = 8.37 kcal/mol of atoms
V = 6.57 Å³/atom
distance to the lowest polymorph of the same formula = 126.7 meV/atom



Entry 11:
Below is a geometry-optimized Sc2WAu structure, with properties calculated at the PBE-GGA level.

a b c (Å): 9.5515 3.0916 5.3421
angles (deg): 90.00 105.09 90.00
Closest atoms and distances in Å follow each position.
Space group C2/m (No. 12)
Unique sites:
Sc 0.2493 0.0000 0.2538  3 W 2.87-3.00, 3 Au 2.87-3.04, 6 Sc 3.05-3.12
W 0.0000 0.0000 0.5000  6 Sc 2.87-3.00, 4 Au 3.09, 2 W 3.09
Au 0.0000 0.5000 0.0000  6 Sc 2.87-3.04, 4 W 3.09, 2 Au 3.09

Computed properties:
final energy = -0.5240 Ry/atom
energy of formation = 2.18 kcal/mol of atoms
V = 19.04 Å³/atom
distance to the lowest polymorph of the same formula = 287.3 meV/atom



Entry 12:
Below is a geometry-optimized Na3Tl12Au structure, with properties calculated at the PBE-GGA level.

a b c (Å): 4.9106 4.9106 18.9264
angles (deg): 90.00 90.00 90.00
Closest atoms and distances in Å follow each position.
Space group P4/mmm (No. 123)
Unique sites:
Na 0.0000 0.0000 0.0000  12 Tl 3.44-3.47
Na 0.0000 0.0000 0.2539  12 Tl 3.43-3.49
Tl 0.0000 0.5000 0.1276  4 Na 3.43-3.44, 8 Tl 3.43-3.47
Tl 0.0000 0.5000 0.3852  8 Tl 3.28-3.49, 2 Au 3.28, 2 Na 3.49
Tl 0.5000 0.5000 0.0000  8 Tl 3.44, 4 Na 3.47
Tl 0.5000 0.5000 0.2542  8 Tl 3.43-3.49, 4 Na 3.47
Tl 0.5000 0.5000 0.5000  8 Tl 3.28, 4 Au 3.47
Au 0.0000 0.0000 0.5000  12 Tl 3.28-3.47

Computed properties:
final energy = -0.1671 Ry/atom
energy of formation = -1.07 kcal/mol of atoms
V = 28.52 Å³/atom



Entry 13:
Below is a geometry-optimized PuUSn structure, with properties calculated at the PBE-GGA level.

a b c (Å): 11.6042 3.6992 7.6586
angles (deg): 90.00 130.00 90.00
Closest atoms and distances in Å follow each position.
Space group C2/m (No. 12)
Unique sites:
Pu 0.1285 0.0000 0.0602  1 Pu 2.49, 3 U 2.51-2.53
U 0.1830 0.0000 0.7894  3 Pu 2.51-2.53
Sn 0.1020 0.5000 0.3666  5 Pu 3.15-3.38, 2 Sn 3.22, 5 U 3.27-3.39

Computed properties:
final energy = -0.7258 Ry/atom
energy of formation = -0.02 kcal/mol of atoms
V = 20.99 Å³/atom
distance to the lowest polymorph of the same formula = 55.6 meV/atom



Entry 14:
Below is a geometry-optimized TlCd2Si2 structure, with properties calculated at the PBE-GGA level.

a b c (Å): 8.6345 8.6345 2.9788
angles (deg): 90.00 90.00 90.00
Closest atoms and distances in Å follow each position.
Space group P4/mbm (No. 127)
Unique sites:
Tl 0.0000 0.0000 0.0000  2 Tl 2.98, 4 Cd 3.31
Cd 0.1456 0.3544 0.0000  6 Si 2.92-2.94, 2 Cd 2.98
Si 0.1485 0.6485 0.5000  6 Cd 2.92-2.94, 2 Si 2.98

Computed properties:
final energy = -0.1909 Ry/atom
formation energy without anion corrections = 2.06 eV/f.u.
V = 22.21 Å³/atom
distance to the lowest polymorph of the same formula = 178.0 meV/atom



Entry 15:
Below is a geometry-optimized CaYCuAg structure, with properties calculated at the PBE-GGA level.

a b c (Å): 7.1848 7.1848 7.1848
angles (deg): 90.00 90.00 90.00
Closest atoms and distances in Å follow each position.
Space group F-43m (No. 216)
Unique sites:
Ca 0.0000 0.0000 0.0000  4 Cu 3.11, 4 Ag 3.11
Y 0.0000 0.0000 0.5000  4 Ag 3.11, 4 Cu 3.11
Cu 0.2500 0.2500 0.2500  4 Y 3.11, 4 Ca 3.11
Ag 0.2500 0.2500 0.7500  4 Ca 3.11, 4 Y 3.11

Computed properties:
final energy = -0.2983 Ry/atom
energy of formation = -4.73 kcal/mol of atoms
V = 23.18 Å³/atom



Entry 16:
Below is a geometry-optimized InHPd5 structure, with properties calculated at the PBE-GGA level.

a b c (Å): 8.7038 8.7211 7.2380
angles (deg): 90.00 125.88 90.00
Closest atoms and distances in Å follow each position.
Space group C2/c (No. 15)
Unique sites:
In 0.0000 0.0874 0.2500  6 Pd 2.69-2.82
H 0.2500 0.2500 0.0000  4 Pd 1.85-2.06
Pd 0.0000 0.3554 0.7500  2 H 2.06
Pd 0.1227 0.3714 0.4798  2 In 2.69-2.82, 8 Pd 2.70-2.95
Pd 0.2340 0.1350 0.7747  1 H 1.85

Computed properties:
final energy = -0.3418 Ry/atom
V = 15.90 Å³/atom



Entry 17:
Below is a geometry-optimized NaAl2I2 structure, with properties calculated at the PBE-GGA level.

a b c (Å): 6.1710 6.1710 8.9229
angles (deg): 90.00 90.00 90.00
Closest atoms and distances in Å follow each position.
Space group I4/mmm (No. 139)
Unique sites:
Na 0.0000 0.0000 0.0000  2 Al 3.08
Al 0.0000 0.0000 0.3449  1 Al 2.77, 1 Na 3.08
I 0.0000 0.5000 0.2500  4 Al 3.20

Computed properties:
final energy = -0.1777 Ry/atom
formation energy without anion corrections = -0.18 eV/f.u.
V = 33.98 Å³/atom
distance to the lowest polymorph of the same formula = 0.0 meV/atom



Entry 18:
Below is a geometry-optimized SrAlZn2 structure, with properties calculated at the PBE-GGA level.

a b c (Å): 4.6634 4.6634 4.2434
angles (deg): 90.00 90.00 90.00
Closest atoms and distances in Å follow each position.
Space group P4/mmm (No. 123)
Unique sites:
Sr 0.0000 0.0000 0.0000  8 Zn 3.15, 4 Al 3.30
Al 0.5000 0.5000 0.0000  8 Zn 3.15, 4 Sr 3.30
Zn 0.0000 0.5000 0.5000  4 Sr 3.15, 4 Al 3.15, 4 Zn 3.30

Computed properties:
final energy = -0.1437 Ry/atom
energy of formation = 0.87 kcal/mol of atoms
V = 23.07 Å³/atom



Entry 19:
Below is a geometry-optimized YCrIn2 structure, with properties calculated at the PBE-GGA level.

a b c (Å): 4.6767 4.6767 8.3495
angles (deg): 90.00 90.00 90.00
Closest atoms and distances in Å follow each position.
Space group I4/mmm (No. 139)
Unique sites:
Y 0.0000 0.0000 0.0000  8 In 3.13, 4 Cr 3.31
Cr 0.0000 0.0000 0.5000  8 In 3.13, 4 Y 3.31
In 0.0000 0.5000 0.2500  4 Cr 3.13, 4 Y 3.13, 4 In 3.31

Computed properties:
final energy = -0.3992 Ry/atom
energy of formation = -0.93 kcal/mol of atoms
V = 22.83 Å³/atom



Entry 20:
Below is a geometry-optimized Mn2HIrPd structure, with properties calculated at the PBE-GGA level.

a b c (Å): 3.7393 3.7393 3.7759
angles (deg): 90.00 90.00 90.00
Closest atoms and distances in Å follow each position.
Space group P4/mmm (No. 123)
Unique sites:
Mn 0.0000 0.5000 0.0000  2 H 1.87
H 0.0000 0.0000 0.0000  4 Mn 1.87, 2 Ir 1.89
Ir 0.0000 0.0000 0.5000  2 H 1.89
Pd 0.5000 0.5000 0.5000  4 Ir 2.64, 8 Mn 2.66

Computed properties:
final energy = -0.5139 Ry/atom
V = 10.56 Å³/atom
distance to the lowest polymorph of the same formula = 158.4 meV/atom



Entry 21:
Below is a geometry-optimized Ti12MnGa6 structure, with properties calculated at the PBE-GGA level.

a b c (Å): 9.5176 9.5176 11.6613
angles (deg): 90.00 90.00 120.00
Closest atoms and distances in Å follow each position.
Space group R-3 (No. 148, hexagonal axes)
Unique sites:
Ti 0.0453 0.1824 0.3131  4 Ti 2.68-2.78, 1 Mn 2.68, 5 Ga 2.79-2.92
Ti 0.0688 0.8527 0.9106  4 Ga 2.69-2.84, 4 Ti 2.75-2.78
Mn 0.0000 0.0000 0.5000  6 Ga 2.62, 6 Ti 2.68
Ga 0.0334 0.4423 0.2104  1 Mn 2.62, 9 Ti 2.69-2.92, 2 Ga 2.77

Computed properties:
final energy = -0.4904 Ry/atom
energy of formation = -5.71 kcal/mol of atoms
V = 16.05 Å³/atom



Entry 22:
Below is a geometry-optimized Cr2InAg structure, with properties calculated at the PBE-GGA level.

a b c (Å): 3.7770 3.7770 8.6968
angles (deg): 90.00 90.00 90.00
Closest atoms and distances in Å follow each position.
Space group I4/mmm (No. 139)
Unique sites:
Cr 0.0000 0.5000 0.2500  4 Cr 2.67, 4 In 2.88, 4 Ag 2.88
In 0.0000 0.0000 0.0000  4 Ag 2.67, 8 Cr 2.88
Ag 0.0000 0.0000 0.5000  4 In 2.67, 8 Cr 2.88

Computed properties:
final energy = -0.4100 Ry/atom
energy of formation = 14.56 kcal/mol of atoms
V = 15.51 Å³/atom



Entry 23:
Below is a geometry-optimized AcPrNi2H6 structure, with properties calculated at the PBE-GGA level.

a b c (Å): 7.8233 9.8567 6.5968
angles (deg): 90.00 112.27 90.00
Closest atoms and distances in Å follow each position.
Space group C2/c (No. 15)
Unique sites:
Ac 0.0000 0.1540 0.2500  10 H 2.58-2.70
Pr 0.0000 0.4178 0.7500  8 H 2.35-2.47
Ni 0.1840 0.1448 0.8227  3 H 1.58-1.65
H 0.0958 0.3800 0.1280  1 Ni 1.65
H 0.1691 0.2530 0.6360  1 Ni 1.60
H 0.1740 0.0451 0.0051  1 Ni 1.58

Computed properties:
final energy = -0.3290 Ry/atom
V = 11.77 Å³/atom



Entry 24:
Below is a geometry-optimized Cs4AsAu structure, with properties calculated at the PBE-GGA level.

a b c (Å): 11.5400 16.1934 8.4726
angles (deg): 90.00 124.67 90.00
Closest atoms and distances in Å follow each position.
Space group C2/c (No. 15)
Unique sites:
Cs 0.1305 0.1796 0.0720  2 As 3.69-3.74, 2 Au 3.78-3.86, 1 Cs 4.14
Cs 0.1878 0.4487 0.2428  2 As 3.70-3.75, 2 Au 3.72-3.77, 1 Cs 4.14
As 0.0000 0.3643 0.7500  8 Cs 3.69-3.75
Au 0.0000 0.0145 0.2500  8 Cs 3.72-3.86

Computed properties:
final energy = -0.1610 Ry/atom
energy of formation = -6.94 kcal/mol of atoms
V = 54.26 Å³/atom



Entry 25:
Below is a geometry-optimized Ta2NbBr structure, with properties calculated at the PBE-GGA level.

a b c (Å): 6.6848 6.6848 6.6848
angles (deg): 90.00 90.00 90.00
Closest atoms and distances in Å follow each position.
Space group Fm-3m (No. 225)
Unique sites:
Ta 0.2500 0.2500 0.2500  4 Br 2.89, 4 Nb 2.89
Nb 0.0000 0.0000 0.0000  8 Ta 2.89
Br 0.0000 0.0000 0.5000  8 Ta 2.89

Computed properties:
final energy = -0.5910 Ry/atom
formation energy without anion corrections = 3.28 eV/f.u.
V = 18.67 Å³/atom
distance to the lowest polymorph of the same formula = 0.0 meV/atom